Computed, not measured: an optimized crystal structure of CuAgMo2 at the GGA-PBE level of DFT.

The structure in POSCAR format:
```
CuAgMo2
1.0
1.610 -2.160 0.000
1.610 2.160 0.000
0.000 0.000 8.927
Cu Ag Mo
1 1 2
Direct
0.000 0.000 0.000
0.500 0.500 0.756
0.000 0.000 0.483
0.500 0.500 0.235
```

Properties
Final energy, eV per atom: -6.921
N(E_F), states/eV per cell: 2.3
Space group: Cmm2 (35)